(1)
## BaNa2RuCl8 (PBE)

Data for a geometry-optimized BaNa2RuCl8 structure.

size of the total moment: 2.000 μB/f.u.
formation energy (no corrections): -16.47 eV/f.u.
V: 355 Å³/cell
crystal system: triclinic

a b c (Å): 6.1828 6.6632 8.7133
angles (deg): 82.77 86.45 85.56
With the nearest neighbours (Å) after each atom.
Fractional positions:
Ba (0.0000, 0.0000, 0.0000)  6 Cl 3.02-3.19
Na (0.4451, 0.4369, 0.2355)  5 Cl 2.70-2.96
Na (0.5549, 0.5631, 0.7645)  5 Cl 2.70-2.96
Ru (0.0000, 0.0000, 0.5000)  6 Cl 2.31-2.39
Cl (0.1357, 0.7649, 0.7076)  1 Ru 2.39
Cl (0.1992, 0.8117, 0.3172)  1 Ru 2.38
Cl (0.2882, 0.1974, 0.5091)  1 Ru 2.31
Cl (0.3658, 0.2805, 0.9753)  2 Na 2.70-2.74
Cl (0.6342, 0.7195, 0.0247)  2 Na 2.70-2.74
Cl (0.7118, 0.8026, 0.4909)  1 Ru 2.31
Cl (0.8008, 0.1883, 0.6828)  1 Ru 2.38
Cl (0.8643, 0.2351, 0.2924)  1 Ru 2.39


(2)
## Ac2PS (PBE)

Data for a geometry-optimized Ac2PS structure.

size of the total moment: 0.000 μB/f.u.
formation energy (no corrections): -7.21 eV/f.u.
V: 238 Å³/cell
crystal system: tetragonal
ΔE to the lowest computed polymorph: 0.0000 eV per atom

a b c (Å): 7.5911 7.5911 7.5911
angles (deg): 131.88 131.88 70.42
With the nearest neighbours (Å) after each atom.
Fractional positions:
Ac (0.1218, 0.3718, 0.7500)  3 P 3.06-3.09, 3 S 3.09-3.14
Ac (0.3718, 0.1218, 0.2500)  3 P 3.06-3.09, 3 S 3.09-3.14
Ac (0.6282, 0.8782, 0.7500)  3 P 3.06-3.09, 3 S 3.09-3.14
Ac (0.8782, 0.6282, 0.2500)  3 P 3.06-3.09, 3 S 3.09-3.14
P (0.1250, 0.8750, 0.2500)  6 Ac 3.06-3.09
P (0.8750, 0.1250, 0.7500)  6 Ac 3.06-3.09
S (0.3750, 0.6250, 0.7500)  6 Ac 3.09-3.14
S (0.6250, 0.3750, 0.2500)  6 Ac 3.09-3.14


(3)
## SrAgSN2 (PBE)

Data for a geometry-optimized SrAgSN2 structure.

size of the total moment: 5.019 μB/f.u.
formation energy (no corrections): 7.39 eV/f.u.
V: 138 Å³/cell
crystal system: tetragonal
ΔE to the lowest computed polymorph: 0.7085 eV per atom

a b c (Å): 4.8502 4.8502 5.8843
angles (deg): 90.00 90.00 90.00
With the nearest neighbours (Å) after each atom.
Fractional positions:
Sr (0.0000, 0.0000, 0.0000)  4 N 2.43
Ag (0.5000, 0.5000, 0.5000)  4 S 3.43, 8 N 3.81
S (0.0000, 0.0000, 0.5000)  2 Sr 2.94
N (0.0000, 0.5000, 0.0000)  2 Sr 2.43
N (0.5000, 0.0000, 0.0000)  2 Sr 2.43


(4)
## InPt2Cl (PBE)

Data for a geometry-optimized InPt2Cl structure.

size of the total moment: 0.000 μB/f.u.
formation energy (no corrections): 0.28 eV/f.u.
V: 76 Å³/cell
crystal system: orthorhombic
ΔE to the lowest computed polymorph: 0.1740 eV per atom

a b c (Å): 3.0164 3.5582 7.0935
angles (deg): 90.00 90.00 90.00
With the nearest neighbours (Å) after each atom.
Fractional positions:
In (0.0000, 0.0000, 0.0000)  5 Pt 2.76-3.06, 2 In 3.02
Pt (0.0000, 0.0000, 0.4320)  6 Pt 2.83-3.02, 4 Cl 2.96, 1 In 3.06
Pt (0.5000, 0.5000, 0.2071)  4 In 2.76, 6 Pt 2.83-3.02
Cl (0.5000, 0.5000, 0.6887)  4 Pt 2.96, 2 Cl 3.02, 4 In 3.21


Q: Which value of V does entry 4 give?
A: 76 Å³/cell